[1]
CaCoSi2 | meta-GGA SCAN | single point on PBEsol structure

The structure in POSCAR format:
```
CaCoSi2
1.0
2.6305 -4.1250 0.0000
2.6305 4.1250 0.0000
0.0000 0.0000 2.7845
Ca Co Si
1 1 2
Cartesian
0.0000 0.0000 0.0000
2.6305 0.0000 0.0000
1.3153 2.0625 1.3923
1.3153 -2.0625 1.3923
```

Computed properties:
The calculation puts the formation energy (no corrections) at 1.34 eV per formula unit. Its density of states at the Fermi level is 0.49 states/eV per atom.

[2]
CaCo2Si | meta-GGA SCAN | single point on PBEsol structure

The structure in POSCAR format:
```
CaCo2Si
1.0
1.9825 1.1446 4.9589
-1.9825 1.1446 4.9589
0.0000 -2.2892 4.9589
Ca Co Si
1 2 1
Cartesian
0.0000 0.0000 0.0000
0.0000 0.0000 2.7416
0.0000 0.0000 12.1351
0.0000 0.0000 7.4384
```

Computed properties:
The calculation puts the formation energy (no corrections) at -1.22 eV per formula unit. Its density of states at the Fermi level is 0.29 states/eV per atom.

[3]
CaCoSi2 | meta-GGA SCAN | single point on PBEsol structure

The structure in POSCAR format:
```
CaCoSi2
1.0
3.0355 0.0000 0.0000
0.0000 3.1042 0.0000
0.0000 0.0000 6.6211
Ca Co Si
1 1 2
Cartesian
0.0000 0.0000 0.0000
1.5177 1.5521 2.2108
0.0000 0.0000 3.0564
1.5177 1.5521 4.5250
```

Computed properties:
The calculation puts the formation energy (no corrections) at -0.29 eV per formula unit. Its density of states at the Fermi level is 0.45 states/eV per atom.

[4]
CaCoSi2 | meta-GGA SCAN | single point on PBEsol structure

The structure in POSCAR format:
```
CaCoSi2
1.0
1.9300 1.1143 5.3033
-1.9300 1.1143 5.3033
0.0000 -2.2285 5.3033
Ca Co Si
1 1 2
Cartesian
0.0000 0.0000 0.0000
0.0000 0.0000 12.9976
0.0000 0.0000 3.1749
0.0000 0.0000 7.2868
```

Computed properties:
The calculation puts the formation energy (no corrections) at -1.70 eV per formula unit. Its density of states at the Fermi level is 0.64 states/eV per atom.